1.
The following is a DFT calculation (GGA-PBE) of a relaxed structure of Nd3Zn4Cu4.

Structure (CIF):
```
data_Nd3Zn4Cu4
_cell_length_a 4.4422
_cell_length_b 6.6975
_cell_length_c 14.3372
_cell_angle_alpha 90.00
_cell_angle_beta 90.00
_cell_angle_gamma 90.00
_space_group_name_H-M_alt 'I m m m'
_space_group_IT_number 71
_space_group_name_Hall '-I 2 2'
loop_
_atom_site_label
_atom_site_type_symbol
_atom_site_fract_x
_atom_site_fract_y
_atom_site_fract_z
_atom_site_occupancy
Nd1 Nd 0.0000 0.0000 0.0000 1
Nd2 Nd 0.0000 0.5000 0.1411 1
Zn1 Zn 0.0000 0.0000 0.2141 1
Zn2 Zn 0.0000 0.1831 0.5000 1
Cu1 Cu 0.0000 0.3142 0.3354 1
```

2.
The following is a DFT calculation (GGA-PBE) of a relaxed structure of NdZrCu10.

Structure (CIF):
```
data_NdZrCu10
_cell_length_a 4.0988
_cell_length_b 5.0107
_cell_length_c 8.6647
_cell_angle_alpha 90.00
_cell_angle_beta 90.00
_cell_angle_gamma 90.00
_space_group_name_H-M_alt 'P m m m'
_space_group_IT_number 47
loop_
_space_group_symop_operation_xyz
'x,y,z'
'-x,-y,-z'
'-x,-y,z'
'x,y,-z'
'x,-y,-z'
'-x,y,z'
'-x,y,-z'
'x,-y,z'
loop_
_atom_site_label
_atom_site_type_symbol
_atom_site_fract_x
_atom_site_fract_y
_atom_site_fract_z
_atom_site_occupancy
Nd1 Nd 0.0000 0.0000 0.0000 1
Zr1 Zr 0.0000 0.5000 0.5000 1
Cu1 Cu 0.0000 0.0000 0.3421 1
Cu2 Cu 0.0000 0.5000 0.1772 1
Cu3 Cu 0.5000 0.0000 0.5000 1
Cu4 Cu 0.5000 0.2553 0.2592 1
Cu5 Cu 0.5000 0.5000 0.0000 1
```

3.
The following is a DFT calculation (GGA-PBE) of a relaxed structure of Nd2ZrCu.

Structure (CIF):
```
data_Nd2ZrCu
_cell_length_a 3.5010
_cell_length_b 3.5010
_cell_length_c 8.4661
_cell_angle_alpha 90.00
_cell_angle_beta 90.00
_cell_angle_gamma 90.00
_space_group_name_H-M_alt 'P 4/m m m'
_space_group_IT_number 123
_space_group_name_Hall '-P 4 2'
loop_
_atom_site_label
_atom_site_type_symbol
_atom_site_fract_x
_atom_site_fract_y
_atom_site_fract_z
_atom_site_occupancy
Nd1 Nd 0.0000 0.0000 0.2203 1
Zr1 Zr 0.5000 0.5000 0.5000 1
Cu1 Cu 0.5000 0.5000 0.0000 1
```

4.
The following is a DFT calculation (GGA-PBE) of a relaxed structure of Nd2ZrCu.

Structure (CIF):
```
data_Nd2ZrCu
_cell_length_a 3.3075
_cell_length_b 3.3075
_cell_length_c 33.4818
_cell_angle_alpha 90.00
_cell_angle_beta 90.00
_cell_angle_gamma 120.00
_space_group_name_H-M_alt 'R -3 m'
_space_group_IT_number 166
_space_group_name_Hall '-R 3 2"'
loop_
_atom_site_label
_atom_site_type_symbol
_atom_site_fract_x
_atom_site_fract_y
_atom_site_fract_z
_atom_site_occupancy
Nd1 Nd 0.0000 0.0000 0.0973 1
Zr1 Zr 0.0000 0.0000 0.0000 1
Cu1 Cu 0.0000 0.0000 0.5000 1
```

5.
The following is a DFT calculation (GGA-PBE) of a relaxed structure of CuNi3.

Structure (CIF):
```
data_CuNi3
_cell_length_a 6.6927
_cell_length_b 6.8071
_cell_length_c 4.1993
_cell_angle_alpha 90.00
_cell_angle_beta 90.00
_cell_angle_gamma 90.00
_space_group_name_H-M_alt 'C m c m'
_space_group_IT_number 63
_space_group_name_Hall '-C 2c 2'
loop_
_atom_site_label
_atom_site_type_symbol
_atom_site_fract_x
_atom_site_fract_y
_atom_site_fract_z
_atom_site_occupancy
Cu1 Cu 0.0000 0.0768 0.2500 1
Ni1 Ni 0.0000 0.4218 0.2500 1
Ni2 Ni 0.1710 0.2561 0.7500 1
```

6.
The following is a DFT calculation (GGA-PBE) of a relaxed structure of CuNi5.

Structure (CIF):
```
data_CuNi5
_cell_length_a 4.1054
_cell_length_b 2.4867
_cell_length_c 12.9751
_cell_angle_alpha 90.00
_cell_angle_beta 90.00
_cell_angle_gamma 90.00
_space_group_name_H-M_alt 'A m m 2'
_space_group_IT_number 38
loop_
_space_group_symop_operation_xyz
'x,y,z'
'-x,-y,z'
'-x,y,z'
'x,-y,z'
'x,y+1/2,z+1/2'
'-x,-y+1/2,z+1/2'
'-x,y+1/2,z+1/2'
'x,-y+1/2,z+1/2'
loop_
_atom_site_label
_atom_site_type_symbol
_atom_site_fract_x
_atom_site_fract_y
_atom_site_fract_z
_atom_site_occupancy
Cu1 Cu 0.0000 0.0000 0.0000 1
Ni1 Ni 0.0000 0.0000 0.3322 1
Ni2 Ni 0.0000 0.0000 0.6684 1
Ni3 Ni 0.5000 0.0000 0.2219 1
Ni4 Ni 0.5000 0.0000 0.5567 1
Ni5 Ni 0.5000 0.0000 0.8880 1
```

no.,DOS(E_F) (states/eV per cell),total energy (eV per atom)
1,15.51,-3.479
2,10.00,-4.624
3,4.25,-5.523
4,10.58,-5.148
5,26.75,-5.113
6,22.31,-5.457